{"formula": "CeHoPuCd", "functional": "GGA-PBE", "state": "relaxed", "cell": [[0.0000, 3.7803, 3.7803], [3.7803, 0.0000, 3.7803], [3.7803, 3.7803, 0.0000]], "species": ["Ce", "Ho", "Pu", "Cd"], "frac_coords": [[0.0000, 0.0000, 0.0000], [0.5000, 0.5000, 0.5000], [0.7500, 0.7500, 0.7500], [0.2500, 0.2500, 0.2500]], "crystal_system": "cubic", "e_form_ev_per_atom": 0.034, "energy_ev_per_atom": -6.41, "rho_g_cm3": 10.2}